(1)
Entry from the Alexandria database: an optimized crystal structure of ZrReSe2 (PBE).

Summary:
Space-group type: Amm2, No. 38
Uncorrected formation energy (eV/atom): -0.2587
Energy relative to the lowest polymorph listed for this composition (meV per atom): 161.9
Density of states at the Fermi level (states/eV/f.u.): 2.5

Structure (POSCAR):
```
ZrReSe2
1.0
-1.539 3.423 1.991
-2.700 -0.178 -1.781
-4.138 -4.033 3.735
Se Re Zr
2 1 1
Cartesian
-2.594 0.267 2.068 Se
-6.032 -3.753 1.790 Se
-6.317 -1.357 1.983 Re
-3.691 -2.263 1.037 Zr
```


(2)
Entry from the Alexandria database: an optimized crystal structure of Nd3DyTh2S6 (PBE).

Summary:
Space-group type: C2/m, No. 12
Uncorrected formation energy (eV/atom): -1.9438
Density of states at the Fermi level (states/eV/f.u.): 6.9

Structure (POSCAR):
```
Nd3DyTh2S6
1.0
-6.707 0.771 1.766
1.785 -0.513 -6.726
0.972 -6.637 1.975
Nd Dy S Th
3 1 6 2
Cartesian
-1.975 -3.190 -1.492 Nd
0.846 -3.616 -4.313 Nd
-4.795 -2.764 1.329 Nd
0.000 0.000 0.000 Dy
-0.470 -4.947 0.278 S
-4.370 -4.616 -0.867 S
-1.597 -5.036 -3.641 S
-2.353 -1.344 0.656 S
0.421 -1.763 -2.118 S
-3.479 -1.432 -3.262 S
-3.876 0.343 -1.065 Th
-1.046 -0.085 -3.895 Th
```


(3)
Entry from the Alexandria database: an optimized crystal structure of Ho2In (PBE).

Summary:
Space-group type: Pnma, No. 62
Energy of formation from the pure elements (meV/atom): -356
Density of states at the Fermi level (states/eV/f.u.): 2.7

Structure (POSCAR):
```
Ho2In
1.0
-4.020 0.800 -3.124
-1.346 -6.558 0.053
-5.793 1.252 7.773
Ho In
8 4
Cartesian
-8.869 -4.738 3.823 Ho
-3.387 -2.956 1.476 Ho
-6.613 -4.207 1.056 Ho
-7.324 -3.124 6.498 Ho
-2.289 0.231 0.879 Ho
-7.771 -1.551 3.226 Ho
-3.835 -1.383 -1.796 Ho
-4.545 -0.300 3.645 Ho
-6.453 -0.060 6.162 In
-5.675 -0.812 0.717 In
-5.484 -3.694 3.984 In
-4.705 -4.446 -1.460 In
```


(4)
Entry from the Alexandria database: an optimized crystal structure of Cs3InP2 (PBE).

Summary:
Space-group type: P-1, No. 2
Energy of formation from the pure elements (meV/atom): -346

Structure (POSCAR):
```
Cs3InP2
1.0
-5.914 7.871 -0.703
-12.005 -3.984 -3.203
-6.502 -0.649 14.704
Cs P In
24 16 8
Cartesian
-11.800 1.319 10.776 Cs
-14.494 -2.341 0.400 Cs
-8.052 -0.202 9.062 Cs
-6.661 1.005 4.292 Cs
-10.578 5.977 6.419 Cs
-12.622 1.918 0.023 Cs
-16.999 -3.668 10.600 Cs
-10.364 -1.174 -0.590 Cs
-16.908 1.084 11.035 Cs
-7.287 -1.728 1.416 Cs
-10.137 4.317 2.465 Cs
-17.135 4.965 9.383 Cs
-19.502 -1.251 8.505 Cs
-17.761 2.232 6.506 Cs
-13.658 1.375 4.231 Cs
-7.513 2.154 -0.236 Cs
-4.920 4.488 2.294 Cs
-16.369 3.440 1.736 Cs
-10.764 1.863 6.568 Cs
-9.928 5.578 10.399 Cs
-14.285 -1.079 8.334 Cs
-7.423 6.905 0.199 Cs
-14.057 4.412 11.388 Cs
-13.843 -2.739 4.379 Cs
-11.153 3.732 13.338 P
-16.674 -3.078 6.492 P
-15.185 3.494 -1.659 P
-16.483 -0.272 2.812 P
-10.924 -1.885 6.730 P
-9.237 -0.256 12.458 P
-10.692 4.487 -1.503 P
-13.730 -1.250 12.301 P
-13.498 5.123 4.068 P
-7.748 6.316 4.307 P
-19.680 2.592 9.599 P
-4.742 0.646 1.199 P
-13.268 -0.494 -2.539 P
-10.245 0.496 2.867 P
-14.176 2.742 7.932 P
-7.939 3.510 7.986 P
-4.848 -0.749 -1.098 In
-19.574 3.987 11.896 In
-9.730 -1.236 4.550 In
-17.517 -1.431 4.869 In
-3.355 2.238 -0.399 In
-21.066 1.000 11.198 In
-14.692 4.474 6.249 In
-6.904 4.669 5.929 In
```


(5)
Entry from the Alexandria database: an optimized crystal structure of Ba2SnGeSe4 (PBE).

Summary:
Space-group type: P2/m, No. 10
Uncorrected formation energy (eV/atom): -1.0955

Structure (POSCAR):
```
Ba2SnGeSe4
1.0
-2.300 -1.318 -3.594
-3.453 -5.456 4.209
-6.487 2.851 3.106
Ge Sn Ba Se
1 1 2 4
Cartesian
-2.876 -3.387 0.307 Ge
-4.970 -1.302 3.657 Sn
-4.393 0.766 -0.244 Ba
-6.487 2.851 3.106 Ba
-5.277 -3.899 2.031 Se
-7.465 -1.739 5.414 Se
-6.962 -0.024 1.689 Se
-4.775 -2.184 -1.693 Se
```


(6)
Entry from the Alexandria database: an optimized crystal structure of BaSr (PBE).

Summary:
Space-group type: Pbcm, No. 57
Energy relative to the lowest polymorph listed for this composition (meV per atom): 49.7
Energy of formation from the pure elements (meV/atom): 50
Density of states at the Fermi level (states/eV/f.u.): 3.4

Structure (POSCAR):
```
BaSr
1.0
-1.811 3.670 7.219
-3.755 -10.653 4.474
12.975 -2.642 4.598
Ba Sr
12 12
Cartesian
6.558 -9.353 13.555 Ba
-2.091 -6.487 7.543 Ba
0.851 -0.272 2.737 Ba
5.201 -3.310 10.143 Ba
8.733 -7.585 8.433 Ba
-1.324 -2.039 7.859 Ba
-1.185 -8.322 3.934 Ba
7.339 -1.650 5.065 Ba
0.070 -7.975 11.227 Ba
2.208 -6.314 6.149 Ba
10.405 -4.973 5.139 Ba
9.499 -3.138 8.748 Ba
6.039 -5.205 6.546 Sr
3.031 -1.821 6.456 Sr
7.426 -11.108 9.896 Sr
7.742 -5.805 12.049 Sr
3.937 -3.656 2.847 Sr
5.283 -9.639 6.226 Sr
-0.017 1.483 6.396 Sr
1.370 -4.419 9.745 Sr
6.414 0.262 8.630 Sr
4.377 -7.804 9.836 Sr
0.995 -9.887 7.661 Sr
-0.334 -3.819 4.243 Sr
```


Listing magnetization for the structures above in their given order: 0.00; 0.00; 0.00; 0.00; 0.00; 0.00 μB per atom.